Entry 1:
! PBE-GGA CsBaI2O8, optimized geometry; values from VASP
&SYSTEM
  ibrav = 0, nat = 12, ntyp = 4
/
ATOMIC_SPECIES
Cs 132.91 Cs.upf
Ba 137.33 Ba.upf
I 126.90 I.upf
O 16.00 O.upf
CELL_PARAMETERS angstrom
5.630 -3.198 0.000
5.630 3.198 0.000
-3.453 0.000 7.349
ATOMIC_POSITIONS crystal
Cs 0.000 0.000 0.000
Ba 0.500 0.500 0.500
I 0.226 0.226 0.693
I 0.774 0.774 0.307
O 0.068 0.593 0.233
O 0.146 0.146 0.445
O 0.404 0.404 0.763
O 0.407 0.932 0.767
O 0.593 0.068 0.233
O 0.596 0.596 0.237
O 0.854 0.854 0.555
O 0.932 0.407 0.767
! DOS(E_F) = 4.60 states/eV/cell
! Density = 4.09 g/cm³
! Formation energy from raw total energies = -0.8892 eV per atom

---

Entry 2:
! PBE-GGA RbBF3, optimized geometry; values from VASP
&SYSTEM
  ibrav = 0, nat = 5, ntyp = 3
/
ATOMIC_SPECIES
Rb 85.47 Rb.upf
B 10.81 B.upf
F 19.00 F.upf
CELL_PARAMETERS angstrom
4.967 0.000 0.000
0.000 4.967 0.000
0.000 0.000 4.967
ATOMIC_POSITIONS crystal
Rb 0.000 0.000 0.000
B 0.500 0.500 0.500
F 0.000 0.000 0.500
F 0.000 0.500 0.000
F 0.500 0.000 0.000
! DOS(E_F) = 1.59 states/eV/cell
! E above lowest polymorph = 2554.7 meV/atom
! Density = 2.08 g/cm³
! Formation energy from raw total energies = -0.1390 eV per atom

---

Entry 3:
! PBE-GGA TlCrGe, optimized geometry; values from VASP
&SYSTEM
  ibrav = 0, nat = 6, ntyp = 3
/
ATOMIC_SPECIES
Tl 204.38 Tl.upf
Cr 52.00 Cr.upf
Ge 72.64 Ge.upf
CELL_PARAMETERS angstrom
4.360 0.000 0.000
0.000 4.360 0.000
0.000 0.000 6.375
ATOMIC_POSITIONS crystal
Tl 0.250 0.250 0.160
Tl 0.750 0.750 0.840
Cr 0.250 0.750 0.500
Cr 0.750 0.250 0.500
Ge 0.250 0.250 0.708
Ge 0.750 0.750 0.292
! DOS(E_F) = 2.57 states/eV/cell
! Electronic total energy = -5.281 eV/atom
! Density = 9.02 g/cm³

---

Entry 4:
! PBE-GGA K2PC, optimized geometry; values from VASP
&SYSTEM
  ibrav = 0, nat = 8, ntyp = 3
/
ATOMIC_SPECIES
K 39.10 K.upf
P 30.97 P.upf
C 12.01 C.upf
CELL_PARAMETERS angstrom
-5.903 5.903 1.825
5.903 -5.903 1.825
5.903 5.903 -1.825
ATOMIC_POSITIONS crystal
K 0.375 0.120 0.245
K 0.870 0.625 0.745
K 0.875 0.130 0.755
K 0.880 0.125 0.255
P 0.250 0.750 0.500
P 0.500 0.500 0.000
C 0.000 0.000 0.000
C 0.750 0.250 0.500
! DOS(E_F) = 4.09 states/eV/cell
! E above lowest polymorph = 0.0 meV/atom
! Density = 1.58 g/cm³

---

Entry 5:
! PBE-GGA Cs3TlCu2I9, optimized geometry; values from VASP
&SYSTEM
  ibrav = 0, nat = 15, ntyp = 4
/
ATOMIC_SPECIES
Cs 132.91 Cs.upf
Tl 204.38 Tl.upf
Cu 63.55 Cu.upf
I 126.90 I.upf
CELL_PARAMETERS angstrom
8.282 0.000 0.000
-4.141 7.173 0.000
0.000 0.000 10.199
ATOMIC_POSITIONS crystal
Cs 0.000 0.000 0.000
Cs 0.333 0.667 0.670
Cs 0.667 0.333 0.330
Tl 0.000 0.000 0.500
Cu 0.333 0.667 0.156
Cu 0.667 0.333 0.844
I 0.000 0.500 0.000
I 0.176 0.352 0.318
I 0.176 0.824 0.318
I 0.352 0.176 0.682
I 0.500 0.000 0.000
I 0.500 0.500 0.000
I 0.648 0.824 0.318
I 0.824 0.176 0.682
I 0.824 0.648 0.682
! DOS(E_F) = 6.77 states/eV/cell
! Density = 5.13 g/cm³
! Formation energy from raw total energies = -0.7027 eV per atom

---

Entry 6:
! PBE-GGA AsRuRh2, optimized geometry; values from VASP
&SYSTEM
  ibrav = 0, nat = 4, ntyp = 3
/
ATOMIC_SPECIES
As 74.92 As.upf
Ru 101.07 Ru.upf
Rh 102.91 Rh.upf
CELL_PARAMETERS angstrom
2.842 0.000 0.000
0.000 4.502 0.000
0.000 0.000 4.538
ATOMIC_POSITIONS crystal
As 0.000 0.000 0.000
Ru 0.500 0.500 0.000
Rh 0.000 0.500 0.500
Rh 0.500 0.000 0.500
! DOS(E_F) = 5.28 states/eV/cell
! Electronic total energy = -7.066 eV/atom
! Density = 10.92 g/cm³

---

Question: Among the records above, which one has the highest density?
Answer: AsRuRh2

---

Copy entry 1 word for word.
! PBE-GGA CsBaI2O8, optimized geometry; values from VASP
&SYSTEM
  ibrav = 0, nat = 12, ntyp = 4
/
ATOMIC_SPECIES
Cs 132.91 Cs.upf
Ba 137.33 Ba.upf
I 126.90 I.upf
O 16.00 O.upf
CELL_PARAMETERS angstrom
5.630 -3.198 0.000
5.630 3.198 0.000
-3.453 0.000 7.349
ATOMIC_POSITIONS crystal
Cs 0.000 0.000 0.000
Ba 0.500 0.500 0.500
I 0.226 0.226 0.693
I 0.774 0.774 0.307
O 0.068 0.593 0.233
O 0.146 0.146 0.445
O 0.404 0.404 0.763
O 0.407 0.932 0.767
O 0.593 0.068 0.233
O 0.596 0.596 0.237
O 0.854 0.854 0.555
O 0.932 0.407 0.767
! DOS(E_F) = 4.60 states/eV/cell
! Density = 4.09 g/cm³
! Formation energy from raw total energies = -0.8892 eV per atom